1.
KBaYF6: optimized geometry, PBE.

Unit cell a=6.4288 b=6.4288 c=10.5308 alpha=90.00 beta=90.00 gamma=120.00
Last column: nearest neighbours and their distance in Å.
Atoms (fractional coordinates):
F 0.0544 0.3703 0.6364  1 Y 2.20
F 0.6841 0.6297 0.1364  1 Y 2.20
F 0.6297 0.6841 0.6364  1 Y 2.20
F 0.3159 0.3703 0.8636  1 Y 2.20
F 0.6297 0.9456 0.8636  1 Y 2.20
F 0.3159 0.9456 0.6364  1 Y 2.20
F 0.9456 0.6297 0.3636  1 Y 2.20
F 0.0544 0.6841 0.8636  1 Y 2.20
F 0.6841 0.0544 0.3636  1 Y 2.20
F 0.3703 0.0544 0.1364  1 Y 2.20
F 0.3703 0.3159 0.3636  1 Y 2.20
F 0.9456 0.3159 0.1364  1 Y 2.20
K 0.3333 0.6667 0.2500  6 F 2.67
K 0.6667 0.3333 0.7500  6 F 2.67
Ba 0.0000 0.0000 0.5000  6 F 2.65
Ba 0.0000 0.0000 0.0000  6 F 2.65
Y 0.6667 0.3333 0.2500  6 F 2.20
Y 0.3333 0.6667 0.7500  6 F 2.20

Fermi-level density of states, states/eV/f.u.: 0.00
Calculated volume, Å³/atom: 20.94
Uncorrected energy, hartree per atom: -0.22121

=====

2.
K2BaYF8: optimized geometry, PBE.

Unit cell a=6.0955 b=6.0955 c=7.3235 alpha=114.59 beta=114.59 gamma=90.00
Last column: nearest neighbours and their distance in Å.
Atoms (fractional coordinates):
F 0.1469 0.0855 0.7263  1 Y 2.32
F 0.3592 0.4206 0.2737  1 Y 2.32
F 0.9145 0.8531 0.2737  1 Y 2.32
F 0.5794 0.6408 0.7263  1 Y 2.32
F 0.5794 0.0855 0.7263  1 Y 2.32
F 0.9145 0.4206 0.2737  1 Y 2.32
F 0.3592 0.8531 0.2737  1 Y 2.32
F 0.1469 0.6408 0.7263  1 Y 2.32
Y 0.2500 0.7500 0.5000  8 F 2.32
Ba 0.5000 0.5000 0.0000  8 F 2.69
K 0.7500 0.2500 0.5000  8 F 2.77
K 0.0000 0.0000 0.0000  8 F 2.73

Fermi-level density of states, states/eV/f.u.: 13.68
Calculated volume, Å³/atom: 18.33
Uncorrected energy, hartree per atom: -0.19836

=====

3.
KBaZnF6: optimized geometry, PBE.

Unit cell a=6.0385 b=6.0385 c=5.3362 alpha=90.00 beta=90.00 gamma=59.95
Last column: nearest neighbours and their distance in Å.
Atoms (fractional coordinates):
F 0.6123 0.3144 0.7156  1 Zn 2.00
F 0.3137 0.0736 0.7153  1 Zn 2.00
F 0.3143 0.6123 0.2843  1 Zn 2.00
F 0.0729 0.6134 0.7146  1 Zn 2.00
F 0.0735 0.3137 0.2846  1 Zn 2.00
F 0.6133 0.0729 0.2853  1 Zn 2.00
Zn 0.3333 0.3333 0.5000  6 F 2.00
Ba 0.9999 0.0000 0.0000  6 F 2.63
K 0.6665 0.6665 0.5000  6 F 2.58

Fermi-level density of states, states/eV/f.u.: 5.03
Calculated volume, Å³/atom: 18.71
Uncorrected energy, hartree per atom: -0.16090